Density functional theory data (PBE) for Tl3Sb5Au12 after structural relaxation.

Output
**Energy relative to the elements, uncorrected**: 2.169 eV/f.u.
**Density of states at the Fermi level**: 0.51 states/eV per atom
**SG**: Ia-3d

extended XYZ file:
```
80
Lattice="-8.113 8.113 8.113 8.113 -8.113 8.113 8.113 8.113 -8.113" Properties=species:S:1:pos:R:3 pbc="T T T"
Tl 4.057 2.028 0.000
Tl 8.113 4.057 -2.028
Tl 2.028 0.000 4.057
Tl 10.142 0.000 4.057
Tl 0.000 4.057 2.028
Tl 4.057 -2.028 8.113
Tl 4.057 10.142 0.000
Tl 8.113 4.057 6.085
Tl -2.028 8.113 4.057
Tl 6.085 8.113 4.057
Tl 0.000 4.057 10.142
Tl 4.057 6.085 8.113
Sb 0.000 0.000 0.000
Sb 4.057 4.057 -4.057
Sb 4.057 -4.057 4.057
Sb 8.113 0.000 0.000
Sb 12.170 2.028 0.000
Sb 8.113 -4.057 6.085
Sb 6.085 8.113 -4.057
Sb 6.085 0.000 4.057
Sb 4.057 6.085 0.000
Sb 8.113 4.057 2.028
Sb -4.057 4.057 4.057
Sb 0.000 8.113 0.000
Sb 0.000 0.000 8.113
Sb 4.057 4.057 4.057
Sb 0.000 4.057 6.085
Sb 4.057 2.028 8.113
Sb 2.028 8.113 4.057
Sb 2.028 0.000 12.170
Sb 0.000 12.170 2.028
Sb -4.057 6.085 8.113
Au 2.487 -0.196 1.188
Au 9.683 5.245 -4.252
Au 7.918 -1.188 2.487
Au 12.365 -1.570 2.869
Au 10.600 0.196 1.188
Au 9.683 -2.869 4.252
Au 1.188 2.487 -0.196
Au 10.982 3.861 -1.570
Au 5.245 4.252 -1.570
Au 6.925 2.487 0.196
Au -0.196 1.188 2.487
Au 4.252 -1.570 5.245
Au 7.918 6.925 -2.487
Au 4.252 1.570 2.869
Au 6.925 -2.487 7.918
Au 5.245 -4.252 9.683
Au 2.869 4.252 1.570
Au 9.301 5.626 0.196
Au 2.487 7.918 -1.188
Au 9.683 2.869 3.861
Au 4.252 9.683 -2.869
Au 7.918 1.188 5.626
Au 1.570 2.869 4.252
Au 2.487 0.196 6.925
Au 5.626 7.918 1.188
Au 6.544 5.245 3.861
Au 0.196 6.925 2.487
Au 3.861 -1.570 10.982
Au -1.570 5.245 4.252
Au 5.626 0.196 9.301
Au -1.188 2.487 7.918
Au 5.245 3.861 6.544
Au 2.869 12.365 -1.570
Au 1.188 10.600 0.196
Au 3.861 6.544 5.245
Au 0.196 1.188 10.600
Au 3.861 9.683 2.869
Au 8.309 6.925 5.626
Au 1.188 5.626 7.918
Au 2.869 3.861 9.683
Au -2.869 4.252 9.683
Au 6.925 5.626 8.309
Au -1.570 10.982 3.861
Au -2.487 7.918 6.925
Au -4.252 9.683 5.245
Au 0.196 9.301 5.626
Au -1.570 2.869 12.365
Au 5.626 8.309 6.925
```



Density functional theory data (PBE) for Pm5PrPd2 after structural relaxation.

Output
**Formation energy**: -0.3253 eV/atom
**Density of states at the Fermi level**: 1.04 states/eV per atom
**SG**: Cmcm

extended XYZ file:
```
16
Lattice="1.977 -6.381 0.000 1.977 6.381 0.000 0.000 0.000 18.933" Properties=species:S:1:pos:R:3 pbc="T T T"
Pm 1.977 5.613 11.566
Pm 1.977 5.613 16.833
Pm 1.977 1.879 10.206
Pm 1.977 1.879 18.193
Pm 1.977 1.667 4.733
Pm 1.977 -1.667 14.200
Pm 1.977 -1.879 0.740
Pm 1.977 -1.879 8.727
Pm 1.977 -5.613 2.099
Pm 1.977 -5.613 7.367
Pr 1.977 1.744 14.200
Pr 1.977 -1.744 4.733
Pd 1.977 3.364 2.446
Pd 1.977 3.364 7.020
Pd 1.977 -3.364 11.913
Pd 1.977 -3.364 16.487
```



Density functional theory data (PBE) for NaPaSnSe4 after structural relaxation.

Output
**Energy relative to the elements, uncorrected**: -7.481 eV/f.u.
**SG**: Imma

extended XYZ file:
```
14
Lattice="-4.258 4.284 6.193 4.258 -4.284 6.193 4.258 4.284 -6.193" Properties=species:S:1:pos:R:3 pbc="T T T"
Na 0.000 2.142 1.642
Na 4.258 2.142 4.551
Pa 4.258 0.000 0.000
Pa 0.000 0.000 6.193
Sn 2.129 2.142 -3.097
Sn 2.129 -2.142 3.097
Se 4.258 -0.078 2.721
Se 2.389 2.142 -0.094
Se 6.126 2.142 -0.094
Se 4.258 4.205 -2.721
Se 0.000 0.078 8.914
Se -1.868 2.142 6.288
Se 1.868 2.142 6.288
Se 0.000 4.362 3.472
```



Density functional theory data (PBE) for La4MgPa3N8 after structural relaxation.

Output
**Energy relative to the elements, uncorrected**: -22.834 eV/f.u.
**Density of states at the Fermi level**: 0.40 states/eV per atom
**SG**: R-3m

extended XYZ file:
```
16
Lattice="3.546 2.047 5.993 -3.546 2.047 5.993 0.000 -4.095 5.993" Properties=species:S:1:pos:R:3 pbc="T T T"
La 0.000 0.000 0.000
La -1.773 -1.024 5.993
La -1.773 1.024 11.985
La 0.000 2.047 5.993
Mg 0.000 0.000 8.989
Pa -3.546 0.000 8.989
Pa -1.773 1.024 2.996
Pa 1.773 1.024 2.996
N -1.848 -1.067 10.232
N 0.000 0.000 4.211
N 0.000 -2.133 7.745
N -1.848 1.067 7.745
N 1.848 -1.067 10.232
N 0.000 2.133 10.232
N 0.000 0.000 13.766
N 1.848 1.067 7.745
```



Density functional theory data (PBE) for CsScBr2Cl after structural relaxation.

Output
**Energy relative to the elements, uncorrected**: -8.483 eV/f.u.
**Density of states at the Fermi level**: 0.45 states/eV per atom
**SG**: P4/mmm

extended XYZ file:
```
5
Lattice="5.548 0.000 0.000 0.000 5.548 0.000 0.000 0.000 5.175" Properties=species:S:1:pos:R:3 pbc="T T T"
Cs 0.000 0.000 0.000
Sc 2.774 2.774 2.587
Br 0.000 2.774 2.587
Br 2.774 0.000 2.587
Cl 2.774 2.774 0.000
```



Density functional theory data (PBE) for AcCuC2O6 after structural relaxation.

Output
**Energy relative to the elements, uncorrected**: -17.346 eV/f.u.
**SG**: R-3

extended XYZ file:
```
10
Lattice="2.540 1.466 5.744 -2.540 1.466 5.744 0.000 -2.933 5.744" Properties=species:S:1:pos:R:3 pbc="T T T"
Ac 0.000 0.000 0.000
Cu 0.000 0.000 8.617
C 0.000 0.000 4.264
C 0.000 0.000 12.970
O -1.260 -1.225 7.200
O -1.691 0.479 10.033
O 0.431 -1.704 10.033
O -0.431 1.704 7.200
O 1.691 -0.479 7.200
O 1.260 1.225 10.033
```